1.
The following is a PBE-GGA calculation of an optimized crystal structure of Y2NbTl, from Alexandria via LeMat-Bulk.

a = 7.441 Å, b = 7.441 Å, c = 7.441 Å
α = 90.00°, β = 90.00°, γ = 90.00°
Space group Fm-3m (No. 225)
Inequivalent atoms, fractional coordinates:
Y 0.250 0.250 0.250
Nb 0.000 0.000 0.000
Tl 0.000 0.000 0.500

Properties
The calculation puts the formation enthalpy at 0 K at 0.134 eV/atom.

***

2.
The following is a PBE-GGA calculation of an optimized crystal structure of HoTc6, from Alexandria via LeMat-Bulk.

a = 6.758 Å, b = 6.758 Å, c = 6.758 Å
α = 90.00°, β = 90.00°, γ = 90.00°
Space group Im-3m (No. 229)
Inequivalent atoms, fractional coordinates:
Ho 0.000 0.000 0.000
Tc 0.000 0.250 0.500

Properties
The calculation puts the formation enthalpy at 0 K at 0.879 eV/atom.

***

3.
The following is a PBE-GGA calculation of an optimized crystal structure of NaLi3, from Alexandria via LeMat-Bulk.

a = 3.188 Å, b = 10.752 Å, c = 5.640 Å
α = 90.00°, β = 90.00°, γ = 90.00°
Space group Imm2 (No. 44)
Inequivalent atoms, fractional coordinates:
Na 0.000 0.000 0.000
Li 0.000 0.243 0.337
Li 0.000 0.500 0.007

Properties
The calculation puts the formation enthalpy at 0 K at 0.054 eV/atom.

***

4.
The following is a PBE-GGA calculation of an optimized crystal structure of BePtSe, from Alexandria via LeMat-Bulk.

a = 3.745 Å, b = 5.506 Å, c = 7.142 Å
α = 92.00°, β = 104.98°, γ = 109.88°
Space group P-1 (No. 2)
Inequivalent atoms, fractional coordinates:
Be 0.069 0.203 0.435
Pt 0.265 0.625 0.404
Se 0.213 0.159 0.771

Properties
The energy relative to the elements, uncorrected comes out at -459 meV/atom.

***

5.
The following is a PBE-GGA calculation of an optimized crystal structure of Pm3ErTm3S8, from Alexandria via LeMat-Bulk.

a = 7.8099 Å, b = 7.8099 Å, c = 19.4710 Å
α = 90.00°, β = 90.00°, γ = 120.00°
Space group R-3m (No. 166, hexagonal axes)
Inequivalent atoms, fractional coordinates:
Pm 0.0000 0.5000 0.0000
Er 0.0000 0.0000 0.5000
Tm 0.0000 0.5000 0.5000
S 0.0000 0.0000 0.2442
S 0.0041 0.5020 0.7547

Properties
The energy relative to the elements, uncorrected comes out at -2042 meV/atom.

***

6.
The following is a PBE-GGA calculation of an optimized crystal structure of SrCdW, from Alexandria via LeMat-Bulk.

a = 4.153 Å, b = 4.175 Å, c = 15.448 Å
α = 90.00°, β = 90.00°, γ = 90.00°
Space group Fmm2 (No. 42)
Inequivalent atoms, fractional coordinates:
Sr 0.000 0.000 0.000
Cd 0.000 0.000 0.684
W 0.000 0.000 0.329

Properties
The calculation puts the formation enthalpy at 0 K at 0.804 eV/atom.

***

7.
The following is a PBE-GGA calculation of an optimized crystal structure of Li2RhCl4, from Alexandria via LeMat-Bulk.

a = 4.889 Å, b = 4.889 Å, c = 12.701 Å
α = 90.00°, β = 90.00°, γ = 90.00°
Space group I4/mmm (No. 139)
Inequivalent atoms, fractional coordinates:
Li 0.000 0.000 0.131
Rh 0.000 0.000 0.500
Cl 0.000 0.000 0.313
Cl 0.000 0.500 0.000

Properties
The energy relative to the elements, uncorrected comes out at -998 meV/atom.

***

8.
The following is a PBE-GGA calculation of an optimized crystal structure of Cs2InH4, from Alexandria via LeMat-Bulk.

a = 15.263 Å, b = 6.000 Å, c = 7.990 Å
α = 90.00°, β = 119.85°, γ = 90.00°
Space group C2/m (No. 12)
Inequivalent atoms, fractional coordinates:
Cs 0.029 0.000 0.267
Cs 0.174 0.500 0.788
In 0.190 0.500 0.299
H 0.079 0.500 0.357
H 0.142 0.266 0.121
H 0.175 0.000 0.696

Properties
The raw total energy is -2.61 eV/atom.

***

9.
The following is a PBE-GGA calculation of an optimized crystal structure of HoAsHRh2, from Alexandria via LeMat-Bulk.

a = 3.851 Å, b = 10.634 Å, c = 7.228 Å
α = 90.00°, β = 90.00°, γ = 90.00°
Space group Cmcm (No. 63)
Inequivalent atoms, fractional coordinates:
Ho 0.000 0.053 0.250
As 0.000 0.227 0.750
H 0.000 0.500 0.000
Rh 0.000 0.344 0.052

Properties
The raw total energy is -6.25 eV/atom.

***

10.
The following is a PBE-GGA calculation of an optimized crystal structure of Sr6Tl3Cu3O16, from Alexandria via LeMat-Bulk.

a = 15.758 Å, b = 5.654 Å, c = 10.368 Å
α = 90.00°, β = 120.44°, γ = 90.00°
Space group C2/m (No. 12)
Inequivalent atoms, fractional coordinates:
Sr 0.068 0.000 0.208
Sr 0.099 0.500 0.796
Sr 0.237 0.500 0.209
Tl 0.000 0.000 0.500
Tl 0.182 0.500 0.500
Cu 0.000 0.500 0.000
Cu 0.166 0.000 0.001
O 0.000 0.379 0.500
O 0.078 0.000 0.735
O 0.083 0.251 0.000
O 0.089 0.500 0.268
O 0.168 0.000 0.500
O 0.244 0.500 0.733
O 0.250 0.250 0.000

Properties
The energy relative to the elements, uncorrected comes out at -1474 meV/atom.

***

11.
The following is a PBE-GGA calculation of an optimized crystal structure of Ba8Ge3SI4, from Alexandria via LeMat-Bulk.

a = 9.6309 Å, b = 9.6309 Å, c = 25.7578 Å
α = 90.00°, β = 90.00°, γ = 120.00°
Space group R-3m (No. 166, hexagonal axes)
Inequivalent atoms, fractional coordinates:
Ba 0.0000 0.0000 0.2385
Ba 0.0034 0.5017 0.2354
Ge 0.0000 0.5000 0.5000
S 0.0000 0.0000 0.5000
I 0.0000 0.0000 0.0000
I 0.0000 0.5000 0.0000

Properties
The energy relative to the elements, uncorrected comes out at -1185 meV/atom.

***

DOS(E_F) list, top to bottom, in states/eV per cell: 38.508 11.966 4.011 0.000 20.263 5.639 3.021 2.123 7.118 36.005 41.868
Theoretical density list, top to bottom, in g/cm³: 7.7 8.1 0.8 7.1 6.6 9.5 2.8 4.0 10.0 6.6 4.5